NbW PBE-GGA optimized geometry; SG = Immm (71); ΔE_f = 0.86 eV per atom; crystal system = orthorhombic; size of the total moment = 0.0 Bohr magnetons per cell
1.0
-1.5061 2.2955 2.6819
1.5061 -2.2955 2.6819
1.5061 2.2955 -2.6819
Nb W
1 1
direct
0.0000 0.0000 0.0000
0.5000 0.5000 0.0000